Density functional theory data (meta-GGA SCAN) for a crystal of Li7SiPO8 relaxed with PBEsol.

abc: 5.009 6.153 10.584
angles: 88.53 89.36 89.69
Atoms (fractional coordinates):
Li 0.000 0.000 0.000
Li 0.003 0.794 0.250
Li 0.118 0.541 0.123
Li 0.224 0.188 0.393
Li 0.369 0.231 0.093
Li 0.376 0.531 0.331
Li 0.428 0.523 0.830
Li 0.474 0.027 0.828
Li 0.488 0.286 0.599
Li 0.540 0.951 0.323
Li 0.791 0.451 0.988
Li 0.840 0.003 0.513
Li 0.860 0.761 0.745
Li 0.867 0.526 0.496
Si 0.515 0.762 0.075
Si 0.833 0.264 0.256
P 0.349 0.775 0.578
P 0.974 0.263 0.746
O 0.040 0.762 0.580
O 0.284 0.275 0.748
O 0.378 0.759 0.217
O 0.402 0.975 0.998
O 0.420 0.532 0.009
O 0.437 0.989 0.505
O 0.459 0.777 0.713
O 0.467 0.576 0.507
O 0.505 0.263 0.267
O 0.843 0.747 0.081
O 0.853 0.464 0.811
O 0.879 0.053 0.817
O 0.879 0.263 0.606
O 0.918 0.040 0.338
O 0.950 0.260 0.111
O 0.981 0.467 0.327

Properties
The calculation puts the formation energy (no corrections) at -2585 meV per atom. As for the total energy: -0.5661 Ry/atom.